This record from the Alexandria database describes a relaxed structure of RbUFe2O6. The functional is PBE+U.

a b c (Å): 6.6344 7.4601 7.4601
angles (deg): 90.89 78.92 78.92
Fractional coordinates of all 20 atoms:
U  0.7500  0.7071  0.2929
U  0.2500  0.2929  0.7071
Rb  0.7500  0.0926  0.9074
Rb  0.2500  0.9074  0.0926
O  0.1823  0.6023  0.7165
O  0.9411  0.3516  0.7391
O  0.2528  0.2825  0.9897
O  0.3177  0.2835  0.3977
O  0.2472  0.0103  0.7175
O  0.6823  0.7165  0.6023
O  0.0589  0.6484  0.2609
O  0.5589  0.2609  0.6484
O  0.7528  0.9897  0.2825
O  0.4411  0.7391  0.3516
O  0.7472  0.7175  0.0103
O  0.8177  0.3977  0.2835
Fe  0.1354  0.3790  0.2330
Fe  0.6354  0.2330  0.3790
Fe  0.3646  0.7670  0.6210
Fe  0.8646  0.6210  0.7670

## Properties
The calculation puts the density at 4.97 g/cm3. The volume comes out at 17.75 Å³ per atom. The uncorrected energy comes out at -7.40 eV per atom.